*i*
Entry from Alexandria via LeMat-Bulk: a relaxed AcLa2Os crystal (PBE).

Unit cell a=3.6244 b=3.6244 c=9.9814 alpha=90.00 beta=90.00 gamma=90.00
Atoms (fractional coordinates):
La 0.0000 0.0000 0.1703
La 0.0000 0.0000 0.8297
Os 0.5000 0.5000 0.0000
Ac 0.5000 0.5000 0.5000

Computed properties:
Space group: P4/mmm (123)



*ii*
Entry from Alexandria via LeMat-Bulk: a relaxed AcLa2Os crystal (PBE).

Unit cell a=6.6738 b=7.5963 c=10.2309 alpha=90.00 beta=90.00 gamma=90.00
Atoms (fractional coordinates):
Os 0.4203 0.8894 0.2500
Os 0.9203 0.6106 0.7500
Ac 0.3517 0.4560 0.7500
La 0.3267 0.1706 0.4275
Os 0.5797 0.1106 0.7500
La 0.8267 0.3294 0.9275
Ac 0.8517 0.0440 0.2500
Ac 0.6483 0.5440 0.2500
Os 0.0797 0.3894 0.2500
La 0.1733 0.6706 0.0725
La 0.8267 0.3294 0.5725
La 0.3267 0.1706 0.0725
Ac 0.1483 0.9560 0.7500
La 0.1733 0.6706 0.4275
La 0.6733 0.8294 0.5725
La 0.6733 0.8294 0.9275

Computed properties:
Space group: Pnma (62)



*iii*
Entry from Alexandria via LeMat-Bulk: a relaxed AcLa2Os crystal (PBE).

Unit cell a=4.1087 b=6.6831 c=9.8893 alpha=90.00 beta=90.00 gamma=107.90
Atoms (fractional coordinates):
Os 0.7602 0.5211 0.7500
La 0.6466 0.2931 0.0729
La 0.3534 0.7069 0.5729
La 0.6466 0.2931 0.4271
La 0.3534 0.7069 0.9271
Ac 0.9193 0.8376 0.2500
Os 0.2398 0.4789 0.2500
Ac 0.0807 0.1624 0.7500

Computed properties:
Space group: P2_1/m (11)



*iv*
Entry from Alexandria via LeMat-Bulk: a relaxed AcLa2Os crystal (PBE).

Unit cell a=4.1989 b=4.1989 c=9.8676 alpha=77.72 beta=77.72 gamma=60.00
Atoms (fractional coordinates):
La 0.2810 0.2810 0.1570
Ac 0.5012 0.5012 0.4963
Os 0.6658 0.6658 0.0026
La 0.0520 0.0520 0.8441

Computed properties:
Space group: R3m (160)



Which is the most stable structure? *ii* is the most stable.



*i*
Entry from Alexandria via LeMat-Bulk: a relaxed AcLaOs crystal (PBE).

Unit cell a=5.0907 b=5.0907 c=5.0907 alpha=60.00 beta=60.00 gamma=60.00
Atoms (fractional coordinates):
Os 0.2500 0.2500 0.2500
Ac 0.5000 0.5000 0.5000
La 0.0000 0.0000 0.0000

Computed properties:
Space group: F-43m (216)



*ii*
Entry from Alexandria via LeMat-Bulk: a relaxed AcLaOs crystal (PBE).

Unit cell a=6.2304 b=6.2304 c=6.0432 alpha=107.47 beta=107.47 gamma=114.69
Atoms (fractional coordinates):
La 0.3087 0.6913 0.0000
Os 0.2500 0.7500 0.5000
Os 0.7500 0.2500 0.5000
Ac 0.1883 0.1883 0.3767
La 0.6913 0.3087 0.0000
Ac 0.8117 0.8117 0.6233

Computed properties:
Space group: Fmmm (69)



Which is the most stable structure? *i* is the most stable.



*i*
Entry from Alexandria via LeMat-Bulk: a relaxed AcLa2Pb crystal (PBE).

Unit cell a=5.1698 b=5.1718 c=5.1718 alpha=90.00 beta=90.00 gamma=90.00
Atoms (fractional coordinates):
Pb 0.5000 0.0000 0.0000
La 0.0000 0.0000 0.5000
La 0.0000 0.5000 0.0000
Ac 0.5000 0.5000 0.5000

Computed properties:
Space group: P4/mmm (123)



*ii*
Entry from Alexandria via LeMat-Bulk: a relaxed AcLa2Pb crystal (PBE).

Unit cell a=3.8622 b=3.8622 c=11.7509 alpha=80.54 beta=80.54 gamma=60.00
Atoms (fractional coordinates):
La 0.2568 0.2568 0.2296
Ac 0.5002 0.5002 0.4993
Pb 0.6663 0.6663 0.0011
La 0.0767 0.0767 0.7700

Computed properties:
Space group: R3m (160)



Which is the most stable structure? *i* is the most stable.